--- P ---
# PBE with a Hubbard U CsCrI2F, relaxed
data_CsCrI2F
_cell_length_a 6.031
_cell_length_b 6.031
_cell_length_c 5.214
_cell_angle_alpha 90.00
_cell_angle_beta 90.00
_cell_angle_gamma 90.00
_symmetry_space_group_name_H-M 'P 4/m m m'
_symmetry_Int_Tables_number 123
_symmetry_space_group_name_Hall '-P 4 2'
loop_
_atom_site_label
_atom_site_type_symbol
_atom_site_fract_x
_atom_site_fract_y
_atom_site_fract_z
Cs1 Cs 0.000 0.000 0.000
Cr1 Cr 0.500 0.500 0.000
I1 I 0.000 0.500 0.500
F1 F 0.000 0.000 0.500
# - Size of the total moment: 4.000 μB/cell

--- Q ---
# PBE with a Hubbard U CsCrI2F, relaxed
data_CsCrI2F
_cell_length_a 6.238
_cell_length_b 6.238
_cell_length_c 4.140
_cell_angle_alpha 90.00
_cell_angle_beta 90.00
_cell_angle_gamma 90.00
_symmetry_space_group_name_H-M 'P 4/m m m'
_symmetry_Int_Tables_number 123
_symmetry_space_group_name_Hall '-P 4 2'
loop_
_atom_site_label
_atom_site_type_symbol
_atom_site_fract_x
_atom_site_fract_y
_atom_site_fract_z
Cs1 Cs 0.000 0.000 0.000
Cr1 Cr 0.500 0.500 0.500
I1 I 0.000 0.500 0.500
F1 F 0.500 0.500 0.000
# - Size of the total moment: 4.000 μB/cell

Energies relative to the most stable structure, in eV/atom: P 0.954; Q 0.000.

--- P ---
# PBE with a Hubbard U CsMnCrF6, relaxed
data_CsMnCrF6
_cell_length_a 7.529
_cell_length_b 7.619
_cell_length_c 10.779
_cell_angle_alpha 90.00
_cell_angle_beta 90.00
_cell_angle_gamma 90.00
_symmetry_space_group_name_H-M 'I m m a'
_symmetry_Int_Tables_number 74
_symmetry_space_group_name_Hall '-I 2b 2'
loop_
_atom_site_label
_atom_site_type_symbol
_atom_site_fract_x
_atom_site_fract_y
_atom_site_fract_z
Cs1 Cs 0.000 0.250 0.128
Mn1 Mn 0.000 0.000 0.500
Cr1 Cr 0.250 0.250 0.750
F1 F 0.000 0.250 0.419
F2 F 0.000 0.250 0.803
F3 F 0.209 0.068 0.628
# - Size of the total moment: 32.000 μB/cell

--- Q ---
# PBE with a Hubbard U CsMnCrF6, relaxed
data_CsMnCrF6
_cell_length_a 5.566
_cell_length_b 9.601
_cell_length_c 6.476
_cell_angle_alpha 90.00
_cell_angle_beta 90.14
_cell_angle_gamma 90.00
_symmetry_space_group_name_H-M 'C 1 2 1'
_symmetry_Int_Tables_number 5
loop_
_symmetry_equiv_pos_as_xyz
'x,y,z'
'-x,y,-z'
'x+1/2,y+1/2,z'
'-x+1/2,y+1/2,-z'
loop_
_atom_site_label
_atom_site_type_symbol
_atom_site_fract_x
_atom_site_fract_y
_atom_site_fract_z
Cs1 Cs 0.000 0.000 0.000
Mn1 Mn 0.000 0.667 0.500
Cr1 Cr 0.000 0.334 0.500
F1 F 0.118 0.488 0.329
F2 F 0.169 0.197 0.329
F3 F 0.209 0.817 0.331
# - Size of the total moment: 16.000 μB/cell

Energies relative to the most stable structure, in eV/atom: P 0.000; Q 0.016.

--- P ---
# PBE with a Hubbard U CsCrNiF6, relaxed
data_CsCrNiF6
_cell_length_a 5.356
_cell_length_b 9.213
_cell_length_c 6.541
_cell_angle_alpha 90.00
_cell_angle_beta 90.42
_cell_angle_gamma 90.00
_symmetry_space_group_name_H-M 'C 1 2 1'
_symmetry_Int_Tables_number 5
loop_
_symmetry_equiv_pos_as_xyz
'x,y,z'
'-x,y,-z'
'x+1/2,y+1/2,z'
'-x+1/2,y+1/2,-z'
loop_
_atom_site_label
_atom_site_type_symbol
_atom_site_fract_x
_atom_site_fract_y
_atom_site_fract_z
Cs1 Cs 0.000 0.000 0.000
Cr1 Cr 0.000 0.667 0.500
Ni1 Ni 0.000 0.333 0.500
F1 F 0.125 0.506 0.666
F2 F 0.181 0.809 0.666
F3 F 0.201 0.185 0.667
# - Size of the total moment: 1.998 μB/cell

--- Q ---
# PBE with a Hubbard U CsCrNiF6, relaxed
data_CsCrNiF6
_cell_length_a 7.199
_cell_length_b 7.429
_cell_length_c 10.455
_cell_angle_alpha 90.00
_cell_angle_beta 90.00
_cell_angle_gamma 90.00
_symmetry_space_group_name_H-M 'I m m a'
_symmetry_Int_Tables_number 74
_symmetry_space_group_name_Hall '-I 2b 2'
loop_
_atom_site_label
_atom_site_type_symbol
_atom_site_fract_x
_atom_site_fract_y
_atom_site_fract_z
Cs1 Cs 0.000 0.250 0.120
Cr1 Cr 0.000 0.000 0.500
Ni1 Ni 0.250 0.250 0.750
F1 F 0.000 0.250 0.440
F2 F 0.000 0.250 0.828
F3 F 0.188 0.050 0.624
# - Size of the total moment: 19.952 μB/cell

Energies relative to the most stable structure, in eV/atom: P 3.049; Q 0.000.

--- P ---
# PBE with a Hubbard U CsCrOF2, relaxed
data_CsCrOF2
_cell_length_a 4.587
_cell_length_b 4.587
_cell_length_c 3.763
_cell_angle_alpha 90.00
_cell_angle_beta 90.00
_cell_angle_gamma 90.00
_symmetry_space_group_name_H-M 'P 4/m m m'
_symmetry_Int_Tables_number 123
_symmetry_space_group_name_Hall '-P 4 2'
loop_
_atom_site_label
_atom_site_type_symbol
_atom_site_fract_x
_atom_site_fract_y
_atom_site_fract_z
Cs1 Cs 0.000 0.000 0.000
Cr1 Cr 0.500 0.500 0.500
O1 O 0.500 0.500 0.000
F1 F 0.000 0.500 0.500
# - Size of the total moment: 3.000 μB/cell

--- Q ---
# PBE with a Hubbard U CsCrOF2, relaxed
data_CsCrOF2
_cell_length_a 5.179
_cell_length_b 5.179
_cell_length_c 4.455
_cell_angle_alpha 90.00
_cell_angle_beta 90.00
_cell_angle_gamma 90.00
_symmetry_space_group_name_H-M 'P 4/m m m'
_symmetry_Int_Tables_number 123
_symmetry_space_group_name_Hall '-P 4 2'
loop_
_atom_site_label
_atom_site_type_symbol
_atom_site_fract_x
_atom_site_fract_y
_atom_site_fract_z
Cs1 Cs 0.000 0.000 0.000
Cr1 Cr 0.500 0.500 0.500
O1 O 0.000 0.000 0.500
F1 F 0.000 0.500 0.000
# - Size of the total moment: 4.258 μB/cell

Energies relative to the most stable structure, in eV/atom: P 0.000; Q 1.686.